Record 1
# CoS8I2

A relaxed CoS8I2 crystal (PBE-GGA, Alexandria).

Cell and atoms, written as POSCAR:
```
CoS8I2
1.0
-2.9670 4.2246 10.5314
-4.1530 -3.7910 -5.6827
-0.1661 -7.3545 -3.1300
I Co S
2 1 8
Direct
0.3189 0.1136 0.1136
0.6811 0.8864 0.8864
0.0000 0.0000 0.0000
0.2048 0.7353 0.7353
0.7952 0.2647 0.2647
0.9830 0.1209 0.6304
0.8259 0.5086 0.5086
0.9830 0.6304 0.1209
0.0170 0.8791 0.3696
0.1741 0.4914 0.4914
0.0170 0.3696 0.8791
```

* energy relative to the elements, uncorrected: 136 meV/atom
* space group: No. 12

***

Record 2
# CoSI

A relaxed CoSI crystal (PBE-GGA, Alexandria).

Cell and atoms, written as POSCAR:
```
CoSI
1.0
4.4493 0.0000 0.0000
2.2247 3.8532 0.0000
2.2247 1.2844 3.6329
S I Co
1 1 1
Direct
0.2500 0.2500 0.2500
0.7500 0.7500 0.7500
0.0000 0.0000 0.0000
```

* energy relative to the elements, uncorrected: 497 meV/atom
* space group: No. 216

***

Record 3
# CoS3I

A relaxed CoS3I crystal (PBE-GGA, Alexandria).

Cell and atoms, written as POSCAR:
```
CoS3I
1.0
4.4998 0.0000 0.0000
0.0000 4.4998 0.0000
0.0000 0.0000 4.4998
S Co I
3 1 1
Direct
0.0000 0.5000 0.0000
0.0000 0.0000 0.5000
0.5000 0.0000 0.0000
0.0000 0.0000 0.0000
0.5000 0.5000 0.5000
```

* energy relative to the elements, uncorrected: 476 meV/atom
* space group: No. 221

***

Record 4
# CoSI

A relaxed CoSI crystal (PBE-GGA, Alexandria).

Cell and atoms, written as POSCAR:
```
CoSI
1.0
5.9889 0.0000 0.0000
0.0000 3.5452 0.0000
0.0000 -1.7726 3.0702
I Co S
1 1 1
Direct
0.2386 0.3333 0.6667
0.9673 0.0000 0.0000
0.7940 0.6667 0.3333
```

* energy relative to the elements, uncorrected: -62 meV/atom
* space group: No. 156